1.
Computed, not measured: InHgOF2 after structural relaxation at the PBE level of DFT.

The structure in extended XYZ format:
```
5
Lattice="4.613 0.000 0.000 0.000 4.613 0.000 0.000 0.000 4.203" Properties=species:S:1:pos:R:3 pbc="T T T"
F 0.000 2.306 0.000
F 2.306 0.000 0.000
Hg 0.000 0.000 0.000
O 0.000 0.000 2.102
In 2.306 2.306 2.102
```

Calculated values
**VASP energy**: -0.1182 Ha/atom
**ΔE to the lowest computed polymorph**: 553.5 meV/atom
**Raw formation energy**: -0.867 eV/atom

***

2.
Computed, not measured: Zn2MoRh after structural relaxation at the PBE level of DFT.

The structure in extended XYZ format:
```
4
Lattice="4.326 0.000 0.000 0.000 2.724 0.015 0.000 0.847 4.983" Properties=species:S:1:pos:R:3 pbc="T T T"
Mo 2.163 0.893 1.250
Rh 2.163 2.678 3.749
Zn 0.000 3.395 4.977
Zn 0.000 1.961 2.521
```

Calculated values
**VASP energy**: -0.1903 Ha/atom
**Formation enthalpy at 0 K**: 0.00 eV/atom
**ΔE to the lowest computed polymorph**: 157.5 meV/atom

***

3.
Computed, not measured: SbHAu after structural relaxation at the PBE level of DFT.

The structure in extended XYZ format:
```
6
Lattice="3.582 0.000 0.001 0.000 5.696 2.115 -0.001 6.736 7.534" Properties=species:S:1:pos:R:3 pbc="T T T"
Sb 1.874 3.601 1.358
Sb 0.082 8.237 6.418
H 1.873 7.394 6.512
H 0.082 11.179 8.798
Au 0.082 7.016 3.817
Au 1.873 4.822 3.959
```

Calculated values
**VASP energy**: -0.1223 Ha/atom
**ΔE to the lowest computed polymorph**: 95.8 meV/atom

***

4.
Computed, not measured: ErCu2Ni after structural relaxation at the PBE level of DFT.

The structure in extended XYZ format:
```
4
Lattice="4.117 0.000 0.000 2.059 3.566 0.000 2.059 1.189 4.454" Properties=species:S:1:pos:R:3 pbc="T T T"
Ni 4.117 2.377 2.227
Cu 6.176 3.566 2.759
Cu 2.059 1.189 1.695
Er 0.000 0.000 0.000
```

Calculated values
**VASP energy**: -0.1774 Ha/atom
**Formation enthalpy at 0 K**: -0.19 eV/atom

***

5.
Computed, not measured: La6CoPt2Rh after structural relaxation at the PBE level of DFT.

The structure in extended XYZ format:
```
10
Lattice="7.223 -0.005 0.003 3.607 6.260 0.002 3.612 2.086 6.662" Properties=species:S:1:pos:R:3 pbc="T T T"
La 5.899 2.070 1.670
La 6.067 6.369 1.675
La 9.702 4.064 1.677
La 8.457 6.217 5.037
La 8.370 2.077 5.042
La 4.832 4.225 5.039
Co 7.223 4.171 6.606
Pt 7.220 4.169 3.321
Pt 10.830 6.252 0.066
Rh 10.831 6.257 3.302
```

Calculated values
**VASP energy**: -0.2299 Ha/atom
**Formation enthalpy at 0 K**: -0.65 eV/atom

***

6.
Computed, not measured: Cs3Na7Li2 after structural relaxation at the PBE level of DFT.

The structure in extended XYZ format:
```
12
Lattice="7.335 0.000 2.296 3.308 6.546 2.296 0.167 0.103 12.330" Properties=species:S:1:pos:R:3 pbc="T T T"
Cs 0.000 0.000 0.000
Cs 9.212 5.666 9.163
Cs 1.598 0.983 7.758
Na 5.405 3.325 8.461
Na 8.220 2.829 5.816
Na 6.233 6.060 5.816
Na 4.600 2.829 4.683
Na 2.590 3.820 11.105
Na 6.210 3.820 12.238
Na 4.577 0.589 11.105
Li 7.276 4.476 15.346
Li 3.533 2.173 1.575
```

Calculated values
**VASP energy**: -0.0460 Ha/atom
**Formation enthalpy at 0 K**: 0.05 eV/atom

***

7.
Computed, not measured: NdEr3Co after structural relaxation at the PBE level of DFT.

The structure in extended XYZ format:
```
5
Lattice="5.258 0.000 0.000 0.000 5.258 0.000 0.000 0.000 5.258" Properties=species:S:1:pos:R:3 pbc="T T T"
Co 0.000 0.000 0.000
Nd 2.629 2.629 2.629
Er 0.000 2.629 0.000
Er 0.000 0.000 2.629
Er 2.629 0.000 0.000
```

Calculated values
**VASP energy**: -0.1897 Ha/atom
**Formation enthalpy at 0 K**: -0.05 eV/atom
**ΔE to the lowest computed polymorph**: 0.0 meV/atom

***

8.
Computed, not measured: NiIr2Pb after structural relaxation at the PBE level of DFT.

The structure in extended XYZ format:
```
4
Lattice="2.877 0.000 0.000 0.000 3.710 0.000 0.000 0.000 6.200" Properties=species:S:1:pos:R:3 pbc="T T T"
Ir 0.000 0.000 0.296
Ir 1.439 1.855 1.607
Ni 0.000 0.000 2.834
Pb 1.439 1.855 4.563
```

Calculated values
**VASP energy**: -0.2360 Ha/atom
**Formation enthalpy at 0 K**: 0.38 eV/atom